[1]
Material: Pm2Er3Mg
Method: DFT, PBE
State: relaxed

Unit cell a=7.5686 b=7.5687 c=9.8170 alpha=99.51 beta=136.58 gamma=81.00
With the nearest neighbours (Å) after each atom.
Fractional coordinates of all 12 atoms:
1 Pm 0.7008 0.0704 0.3040  2 Pm 3.31-3.36, 2 Mg 3.35-3.42, 5 Er 3.46-3.65
2 Pm 0.2992 0.9296 0.6960  2 Pm 3.31-3.36, 2 Mg 3.35-3.42, 5 Er 3.46-3.65
3 Pm 0.7335 0.6032 0.8040  2 Pm 3.31-3.36, 2 Mg 3.35-3.42, 5 Er 3.46-3.65
4 Pm 0.2665 0.3968 0.1960  2 Pm 3.31-3.36, 2 Mg 3.35-3.42, 5 Er 3.46-3.65
5 Er 0.7777 0.6725 0.4864  2 Mg 3.26-3.29, 4 Er 3.41-3.59, 4 Pm 3.46-3.59
6 Er 0.2223 0.3275 0.5136  2 Mg 3.26-3.29, 4 Er 3.41-3.59, 4 Pm 3.46-3.59
7 Er 0.6861 0.2913 0.0136  2 Mg 3.26-3.29, 4 Er 3.41-3.59, 4 Pm 3.46-3.59
8 Er 0.7982 0.0482 0.7500  1 Mg 3.13, 2 Er 3.45
9 Er 0.3139 0.7087 0.9864  2 Mg 3.26-3.29, 4 Er 3.41-3.59, 4 Pm 3.46-3.59
10 Er 0.2018 0.9518 0.2500  1 Mg 3.13, 2 Er 3.45
11 Mg 0.9295 0.6795 0.2500  5 Er 3.13-3.29, 4 Pm 3.35-3.42
12 Mg 0.0705 0.3205 0.7500  5 Er 3.13-3.29, 4 Pm 3.35-3.42

Calculated values
Total moment ... 0.000 μB per formula unit
Energy above the lowest structure with this stoichiometry ... 0 meV/atom
Formation enthalpy at 0 K ... 133 meV/atom



[2]
Material: TcAgHg4
Method: DFT, PBE
State: relaxed

Unit cell a=5.7228 b=5.7228 c=5.7228 alpha=60.00 beta=60.00 gamma=60.00
With the nearest neighbours (Å) after each atom.
Fractional coordinates of all 6 atoms:
1 Tc 0.7500 0.7500 0.7500  12 Hg 3.35, 4 Ag 3.50
2 Ag 0.0000 0.0000 0.0000  12 Hg 3.36, 4 Tc 3.50
3 Hg 0.8742 0.3753 0.3753  6 Hg 2.86-2.87
4 Hg 0.3753 0.3753 0.8742  6 Hg 2.86-2.87
5 Hg 0.3753 0.8742 0.3753  6 Hg 2.86-2.87
6 Hg 0.3753 0.3753 0.3753  6 Hg 2.86-2.87

Calculated values
Total moment ... 3.010 μB per formula unit
Formation enthalpy at 0 K ... 776 meV/atom



[3]
Material: TbMnPd2
Method: DFT, PBE
State: relaxed

Unit cell a=3.8456 b=4.3231 c=4.3231 alpha=90.00 beta=90.00 gamma=90.00
With the nearest neighbours (Å) after each atom.
Fractional coordinates of all 4 atoms:
1 Mn 0.5000 0.0000 0.0000  8 Pd 2.89, 4 Tb 3.06
2 Tb 0.5000 0.5000 0.5000  8 Pd 2.89, 4 Mn 3.06
3 Pd 0.0000 0.0000 0.5000  4 Tb 2.89, 4 Mn 2.89, 4 Pd 3.06
4 Pd 0.0000 0.5000 0.0000  4 Tb 2.89, 4 Mn 2.89, 4 Pd 3.06

Calculated values
Total moment ... 3.744 μB per formula unit
Energy above the lowest structure with this stoichiometry ... 7 meV/atom
Formation enthalpy at 0 K ... -512 meV/atom



[4]
Material: Tl2SbSe
Method: DFT, PBE
State: relaxed

Unit cell a=8.0957 b=8.0957 c=8.0957 alpha=30.10 beta=30.10 gamma=30.10
With the nearest neighbours (Å) after each atom.
Fractional coordinates of all 4 atoms:
1 Sb 0.2500 0.2500 0.2500  6 Tl 3.18
2 Se 0.7500 0.7500 0.7500  6 Tl 3.03
3 Tl 0.0052 0.0052 0.0052  3 Se 3.03, 3 Sb 3.18
4 Tl 0.4948 0.4948 0.4948  3 Se 3.03, 3 Sb 3.18

Calculated values
Total moment ... 0.000 μB per formula unit
ΔE_f (raw) ... -0.01 eV per atom
Energy above the lowest structure with this stoichiometry ... 92 meV/atom



[5]
Material: ScTlRe2B
Method: DFT, PBE
State: relaxed

Unit cell a=5.1221 b=3.9960 c=5.1221 alpha=90.00 beta=90.00 gamma=90.00
With the nearest neighbours (Å) after each atom.
Fractional coordinates of all 5 atoms:
1 Sc 0.5000 0.5000 0.5000  8 Re 3.25, 4 B 3.62
2 Re 0.0000 0.0000 0.5000  2 Tl 2.56
3 Re 0.5000 0.0000 0.0000  2 Tl 2.56
4 Tl 0.0000 0.0000 0.0000  2 B 2.00
5 B 0.0000 0.5000 0.0000  2 Tl 2.00

Calculated values
Total moment ... 2.235 μB per formula unit
Formation enthalpy at 0 K ... 2405 meV/atom



[6]
Material: PmPrGeH
Method: DFT, PBE
State: relaxed

Unit cell a=5.0116 b=5.0116 c=5.0116 alpha=60.00 beta=60.00 gamma=60.00
With the nearest neighbours (Å) after each atom.
Fractional coordinates of all 4 atoms:
1 Pr 0.5000 0.5000 0.5000  4 Ge 3.07, 4 H 3.07
2 H 0.7500 0.7500 0.7500  4 Pm 3.07, 4 Pr 3.07
3 Ge 0.2500 0.2500 0.2500  4 Pr 3.07, 4 Pm 3.07
4 Pm 0.0000 0.0000 0.0000  4 H 3.07, 4 Ge 3.07

Calculated values
Total moment ... 0.000 μB per formula unit
Total energy ... -4.802 eV per atom



[7]
Material: LaTb2Pm3Y6
Method: DFT, PBE
State: relaxed

Unit cell a=6.2503 b=6.2503 c=11.8952 alpha=95.00 beta=95.00 gamma=119.98
With the nearest neighbours (Å) after each atom.
Fractional coordinates of all 12 atoms:
1 La 0.0000 0.0000 0.0000  6 Y 3.60, 6 Tb 3.61
2 Tb 0.3334 0.6666 0.0000  6 Y 3.59, 3 Tb 3.61, 3 La 3.61
3 Tb 0.6666 0.3334 0.0000  6 Y 3.59, 3 Tb 3.61, 3 La 3.61
4 Pm 0.1670 0.8330 0.5000  6 Y 3.59-3.60, 6 Pm 3.60-3.62
5 Pm 0.8330 0.1670 0.5000  6 Y 3.59-3.60, 6 Pm 3.60-3.62
6 Pm 0.5000 0.5000 0.5000  6 Y 3.59-3.60, 6 Pm 3.60-3.61
7 Y 0.9165 0.5821 0.7500  3 Pm 3.59-3.60, 2 Tb 3.59, 1 La 3.60, 6 Y 3.60-3.62
8 Y 0.7490 0.7490 0.2502  3 Pm 3.59-3.60, 2 Tb 3.59, 1 La 3.60, 6 Y 3.60-3.62
9 Y 0.0835 0.4179 0.2500  3 Pm 3.59-3.60, 2 Tb 3.59, 1 La 3.60, 6 Y 3.60-3.62
10 Y 0.5821 0.9165 0.7500  3 Pm 3.59-3.60, 2 Tb 3.59, 1 La 3.60, 6 Y 3.60-3.62
11 Y 0.2510 0.2510 0.7498  3 Pm 3.59-3.60, 2 Tb 3.59, 1 La 3.60, 6 Y 3.60-3.62
12 Y 0.4179 0.0835 0.2500  3 Pm 3.59-3.60, 2 Tb 3.59, 1 La 3.60, 6 Y 3.60-3.62

Calculated values
Total moment ... 0.000 μB per formula unit
Formation enthalpy at 0 K ... 15 meV/atom



[8]
Material: Ag5Pd4Se
Method: DFT, PBE
State: relaxed

Unit cell a=4.4548 b=6.1710 c=7.2439 alpha=85.32 beta=107.91 gamma=90.00
With the nearest neighbours (Å) after each atom.
Fractional coordinates of all 10 atoms:
1 Ag 0.1866 0.9966 0.3732  5 Pd 2.74-3.00, 3 Ag 2.83-2.94
2 Ag 0.1692 0.4746 0.3384  5 Pd 2.73-2.91, 1 Ag 2.94
3 Ag 0.8308 0.5254 0.6616  5 Pd 2.73-2.91, 1 Ag 2.94
4 Ag 0.5000 0.5000 0.0000  6 Pd 2.74-2.79
5 Ag 0.8134 0.0034 0.6268  5 Pd 2.74-3.00, 3 Ag 2.83-2.94
6 Pd 0.6525 0.7560 0.3049  1 Se 2.48, 4 Ag 2.73-2.74
7 Pd 0.9982 0.2276 0.9965  2 Se 2.63, 5 Ag 2.79-2.91, 1 Pd 2.81
8 Pd 0.3475 0.2440 0.6951  1 Se 2.48, 4 Ag 2.73-2.74
9 Pd 0.0018 0.7724 0.0035  2 Se 2.63, 5 Ag 2.79-2.91, 1 Pd 2.81
10 Se 0.5000 0.0000 0.0000  6 Pd 2.48-2.63

Calculated values
Total moment ... 0.000 μB per formula unit
ΔE_f (raw) ... 0.06 eV per atom



Q: Which of these has the highest total moment?
A: TbMnPd2



Q: total moment of number 3 (TbMnPd2)?
A: 3.744 μB per formula unit